Record 1
A relaxed structure of Er2TmSc7, computed with PBE.

Structure (extended XYZ):
```
10
Lattice="-3.3031 0.2043 0.4399 -1.1138 -7.6022 7.9273 5.6978 8.1856 0.9032" Properties=species:S:1:pos:R:3 pbc="T T T"
Er -0.9521 -4.2948 7.5784
Er 2.2330 5.0825 1.6919
Tm 0.0000 0.0000 0.0000
Sc -2.8370 -2.6969 5.3295
Sc 4.1179 3.4846 3.9408
Sc 2.0653 1.7494 2.0224
Sc -0.7844 -0.9618 7.2479
Sc -1.4043 -1.3357 2.7664
Sc 2.6853 2.1234 6.5039
Sc 0.6405 0.3938 4.6352
```

energy of formation from the pure elements = 0.0544 eV/atom
offset from the most stable computed form = 0.00 eV/f.u.
raw total energy = -57.37 eV/f.u.
density = 5.20 g/cm3

=====

Record 2
A relaxed structure of Er2TmSc, computed with PBE.

Structure (extended XYZ):
```
4
Lattice="5.4846 0.0000 0.0000 2.7423 4.7498 0.0000 2.7423 1.5833 4.4782" Properties=species:S:1:pos:R:3 pbc="T T T"
Sc 5.4846 3.1665 2.2391
Tm 0.0000 0.0000 0.0000
Er 2.7423 1.5833 1.1195
Er 8.2269 4.7498 3.3586
```

energy of formation from the pure elements = 0.1296 eV/atom
offset from the most stable computed form = 0.41 eV/f.u.
raw total energy = -19.41 eV/f.u.
density = 7.81 g/cm3

=====

Record 3
A relaxed structure of Er4Tm8Sc3, computed with PBE.

Structure (extended XYZ):
```
15
Lattice="-6.2378 3.5389 -8.7632 -2.7306 -2.8298 8.1080 6.7455 4.2345 4.2156" Properties=species:S:1:pos:R:3 pbc="T T T"
Er -3.1189 1.7694 -4.3816
Er -1.3653 -1.4149 4.0540
Er 0.0000 0.0000 0.0000
Er 3.3727 2.1173 2.1078
Tm -2.0810 1.9977 -1.4404
Tm 0.6473 -0.3116 6.7205
Tm 0.9970 0.5486 3.4228
Tm -3.4085 0.7594 2.7238
Tm 1.1856 4.1842 0.8367
Tm -3.2199 4.3951 0.1376
Tm 3.3676 1.7164 5.6031
Tm -0.1420 2.9459 5.0008
Sc -4.4842 0.3546 -0.3276
Sc 0.2538 3.8867 -2.2738
Sc -1.1115 2.4718 1.7802
```

energy of formation from the pure elements = 0.4143 eV/atom
raw total energy = -66.80 eV/f.u.
density = 7.83 g/cm3

=====

Among the records above, which one has the highest density? Er4Tm8Sc3

=====

Repeat the third record exactly.
A relaxed structure of Er4Tm8Sc3, computed with PBE.

Structure (extended XYZ):
```
15
Lattice="-6.2378 3.5389 -8.7632 -2.7306 -2.8298 8.1080 6.7455 4.2345 4.2156" Properties=species:S:1:pos:R:3 pbc="T T T"
Er -3.1189 1.7694 -4.3816
Er -1.3653 -1.4149 4.0540
Er 0.0000 0.0000 0.0000
Er 3.3727 2.1173 2.1078
Tm -2.0810 1.9977 -1.4404
Tm 0.6473 -0.3116 6.7205
Tm 0.9970 0.5486 3.4228
Tm -3.4085 0.7594 2.7238
Tm 1.1856 4.1842 0.8367
Tm -3.2199 4.3951 0.1376
Tm 3.3676 1.7164 5.6031
Tm -0.1420 2.9459 5.0008
Sc -4.4842 0.3546 -0.3276
Sc 0.2538 3.8867 -2.2738
Sc -1.1115 2.4718 1.7802
```

energy of formation from the pure elements = 0.4143 eV/atom
raw total energy = -66.80 eV/f.u.
density = 7.83 g/cm3